# 1
Below is a geometry-optimized CePmInGa structure, with properties calculated at the PBE level.

Output
- Symmetry: P4mm

Lattice parameters (Å, degrees): 3.448 3.448 8.712 90.00 90.00 90.00
Positions (direct):
Ce (0.000, 0.000, 0.000)
Pm (0.000, 0.000, 0.463)
In (0.500, 0.500, 0.733)
Ga (0.500, 0.500, 0.231)



# 2
Below is a geometry-optimized CePmInGa structure, with properties calculated at the PBE level.

Output
- Symmetry: F-43m

Lattice parameters (Å, degrees): 7.536 7.536 7.536 90.00 90.00 90.00
Positions (direct):
Ce (0.000, 0.000, 0.000)
Ce (0.000, 0.500, 0.500)
Ce (0.500, 0.000, 0.500)
Ce (0.500, 0.500, 0.000)
Pm (0.000, 0.000, 0.500)
Pm (0.000, 0.500, 0.000)
Pm (0.500, 0.000, 0.000)
Pm (0.500, 0.500, 0.500)
In (0.250, 0.250, 0.250)
In (0.250, 0.750, 0.750)
In (0.750, 0.250, 0.750)
In (0.750, 0.750, 0.250)
Ga (0.250, 0.250, 0.750)
Ga (0.250, 0.750, 0.250)
Ga (0.750, 0.250, 0.250)
Ga (0.750, 0.750, 0.750)



# 3
Below is a geometry-optimized Ce2InGaPt6 structure, with properties calculated at the PBE level.

Output
- Symmetry: C2/m

Lattice parameters (Å, degrees): 6.500 6.500 7.769 124.66 124.66 50.55
Positions (direct):
Ce (0.004, 0.004, 0.250)
Ce (0.996, 0.996, 0.750)
In (0.500, 0.500, 0.500)
Ga (0.500, 0.500, 0.000)
Pt (0.012, 0.506, 0.701)
Pt (0.314, 0.314, 0.061)
Pt (0.494, 0.988, 0.299)
Pt (0.506, 0.012, 0.701)
Pt (0.686, 0.686, 0.939)
Pt (0.988, 0.494, 0.299)



# 4
Below is a geometry-optimized CeInGa2Pt5 structure, with properties calculated at the PBE level.

Output
- Symmetry: P4/mmm

Lattice parameters (Å, degrees): 4.212 4.212 9.426 90.00 90.00 90.00
Positions (direct):
Ce (0.000, 0.000, 0.000)
In (0.000, 0.000, 0.500)
Ga (0.500, 0.500, 0.369)
Ga (0.500, 0.500, 0.631)
Pt (0.000, 0.500, 0.219)
Pt (0.000, 0.500, 0.781)
Pt (0.500, 0.000, 0.219)
Pt (0.500, 0.000, 0.781)
Pt (0.500, 0.500, 0.000)



# 5
Below is a geometry-optimized CeInGaPt structure, with properties calculated at the PBE level.

Output
- Symmetry: F-43m

Lattice parameters (Å, degrees): 6.952 6.952 6.952 90.00 90.00 90.00
Positions (direct):
Ce (0.000, 0.000, 0.000)
Ce (0.000, 0.500, 0.500)
Ce (0.500, 0.000, 0.500)
Ce (0.500, 0.500, 0.000)
In (0.000, 0.000, 0.500)
In (0.000, 0.500, 0.000)
In (0.500, 0.000, 0.000)
In (0.500, 0.500, 0.500)
Ga (0.250, 0.250, 0.250)
Ga (0.250, 0.750, 0.750)
Ga (0.750, 0.250, 0.750)
Ga (0.750, 0.750, 0.250)
Pt (0.250, 0.250, 0.750)
Pt (0.250, 0.750, 0.250)
Pt (0.750, 0.250, 0.250)
Pt (0.750, 0.750, 0.750)



# 6
Below is a geometry-optimized CePuInGa structure, with properties calculated at the PBE level.

Output
- Symmetry: P4mm

Lattice parameters (Å, degrees): 3.240 3.240 9.243 90.00 90.00 90.00
Positions (direct):
Ce (0.000, 0.000, 0.000)
Pu (0.000, 0.000, 0.539)
In (0.500, 0.500, 0.272)
Ga (0.500, 0.500, 0.768)



Asked for density of states at the Fermi level across the records above, the calculation gives 1.512 1.870 1.290 0.648 1.070 2.399 states/eV/atom in order.
Asked for calculated total energy across the records above, the calculation gives -18.32 -18.15 -61.17 -50.45 -20.36 -27.36 eV/f.u. in order.